# 1
Here is a geometry-optimized TaW2 structure from Alexandria via LeMat-Bulk. Energies are from GGA-PBE.

Calculated values
* symmetry: No. 58
* energy: -37.40 eV per formula unit
* ρ: 18.0 g cm⁻³
* size of the total moment: 0.0 μB per cell
* ΔE_f: 0.1205 eV per atom
* N(E_F): 3.1 states/eV/cell

Cell and atoms, written as extended XYZ:
```
6
Lattice="-1.1028 -1.3332 -2.1180 -0.4232 -3.7641 2.5897 -7.3429 2.4117 2.3054" Properties=species:S:1:pos:R:3 pbc="T T T"
Ta 0.0000 0.0000 0.0000
Ta -4.4345 -1.3428 1.3885
W -2.6769 0.5419 0.3502
W -6.6726 -0.2704 2.5815
W -2.1964 -2.4152 0.1956
W -5.7689 0.5367 -0.1628
```


# 2
Here is a geometry-optimized TaW2 structure from Alexandria via LeMat-Bulk. Energies are from GGA-PBE.

Calculated values
* symmetry: No. 63
* energy: -38.10 eV per formula unit
* ρ: 18.1 g cm⁻³
* size of the total moment: 0.0 μB per cell
* ΔE_f: -0.1152 eV per atom
* N(E_F): 2.2 states/eV/cell

Cell and atoms, written as extended XYZ:
```
6
Lattice="3.2199 0.0000 0.0000 1.6099 6.8537 0.0000 0.0000 0.0000 4.5506" Properties=species:S:1:pos:R:3 pbc="T T T"
Ta 3.2199 1.1362 1.1376
Ta 1.6099 5.7175 3.4129
W 3.2199 5.6685 1.1376
W 1.6099 1.1852 3.4129
W 1.6099 3.4666 1.1376
W 3.2199 3.3871 3.4129
```


# 3
Here is a geometry-optimized Ta7W6 structure from Alexandria via LeMat-Bulk. Energies are from GGA-PBE.

Calculated values
* symmetry: No. 166
* energy: -155.76 eV per formula unit
* ρ: 17.0 g cm⁻³
* size of the total moment: 0.0 μB per cell
* ΔE_f: 0.3787 eV per atom
* N(E_F): 10.8 states/eV/cell

Cell and atoms, written as extended XYZ:
```
13
Lattice="9.8201 -0.0104 -0.0063 8.3636 5.1464 -0.0063 8.3636 2.3623 4.5722" Properties=species:S:1:pos:R:3 pbc="T T T"
W 25.3369 7.1565 4.3517
W 1.2104 0.3419 0.2079
W 22.6277 6.3913 3.8864
W 3.9195 1.1071 0.6732
W 17.7293 5.0077 3.0451
W 8.8179 2.4906 1.5145
Ta 15.8455 3.0682 1.8657
Ta 15.1092 4.2676 4.1803
Ta 15.1092 5.6751 1.8657
Ta 10.7017 4.4302 2.6939
Ta 11.4380 1.8233 2.6939
Ta 11.4380 3.2307 0.3793
Ta 13.2736 3.7492 2.2798
```


What did the second record say?
Here is a geometry-optimized TaW2 structure from Alexandria via LeMat-Bulk. Energies are from GGA-PBE.

Calculated values
* symmetry: No. 63
* energy: -38.10 eV per formula unit
* ρ: 18.1 g cm⁻³
* size of the total moment: 0.0 μB per cell
* ΔE_f: -0.1152 eV per atom
* N(E_F): 2.2 states/eV/cell

Cell and atoms, written as extended XYZ:
```
6
Lattice="3.2199 0.0000 0.0000 1.6099 6.8537 0.0000 0.0000 0.0000 4.5506" Properties=species:S:1:pos:R:3 pbc="T T T"
Ta 3.2199 1.1362 1.1376
Ta 1.6099 5.7175 3.4129
W 3.2199 5.6685 1.1376
W 1.6099 1.1852 3.4129
W 1.6099 3.4666 1.1376
W 3.2199 3.3871 3.4129
```


- The lowest N(E_F) belongs to which entry?
  number 2


- The highest ΔE_f belongs to which entry?
  Ta7W6